Density functional theory data (PBE) for YEr2Tm2Lu2Ni2S2 after structural relaxation.

```
YEr2Tm2Lu2Ni2S2
1.0
-1.863 7.304 4.505
1.863 -7.304 4.505
1.863 7.304 -4.505
Ni S Y Er Lu Tm
2 2 1 2 2 2
direct
0.164 0.405 0.759 Ni
0.646 0.405 0.241 Ni
0.143 0.143 0.000 S
0.739 0.239 0.500 S
0.490 0.490 0.000 Y
0.373 0.737 0.636 Er
0.101 0.737 0.364 Er
0.787 0.101 0.685 Lu
0.416 0.101 0.315 Lu
0.773 0.893 0.880 Tm
0.013 0.893 0.120 Tm
```

Calculated values
E_tot in eV/atom: -5.6902
Space-group type: Imm2 (44)
Total magnetic moment in μB/f.u.: 0.01